Computed, not measured: Ta2WS6 after structural relaxation at the PBE level of DFT.

Structure (POSCAR):
```
Ta2WS6
1.0
3.263 0.000 -0.748
-0.569 7.228 -2.483
0.218 -0.765 8.447
Ta W S
2 1 6
direct
0.848 0.697 0.697
0.152 0.303 0.303
0.500 0.000 0.000
0.339 0.919 0.677
0.998 0.236 0.996
0.676 0.560 0.353
0.002 0.764 0.004
0.661 0.081 0.323
0.324 0.440 0.647
```

Polymorph energy (0 for the lowest one): 0 meV/atom
Space-group type: C2/m (12)

Computed, not measured: TaWS6 after structural relaxation at the PBE level of DFT.

Structure (POSCAR):
```
TaWS6
1.0
6.055 0.211 0.413
3.203 5.257 0.379
3.432 1.977 5.597
Ta W S
1 1 6
direct
0.500 0.500 0.500
0.000 0.000 0.000
0.054 0.439 0.754
0.641 0.137 0.865
0.641 0.138 0.357
0.359 0.863 0.135
0.946 0.561 0.246
0.359 0.862 0.643
```

Space-group type: C2/m (12)

no.,raw total energy (eV per cell),volume (Å³ per cell)
1,-69.5,194
2,-52.5,165